1.
Below is a relaxed LiTbSc2Tl4 crystal, with properties calculated at the PBE-GGA level.

The value obtained for the calculated volume is 578.8 Å³ per cell. The calculation puts the total energy at -3.861 eV per atom. The spin magnetization comes out at 0.0 Bohr magnetons per cell. The density comes out at 9.24 Mg/m³. For the formation energy, the calculation gives -2.2 eV/f.u.

It has space group R-3m (No. 166, hexagonal axes), with a = 5.1009 Å, b = 5.1009 Å, c = 25.6848 Å, α = 90.00°, β = 90.00° and γ = 120.00°. Symmetry generates all atoms from Li at (0.0000, 0.0000, 0.0000), Tb at (0.0000, 0.0000, 0.5000), Sc at (0.0000, 0.0000, 0.2531), Tl at (0.0000, 0.0000, 0.1203) and Tl at (0.0000, 0.0000, 0.3713).

2.
Below is a relaxed Li2Tb2ScTl2 crystal, with properties calculated at the PBE-GGA level.

The value obtained for the calculated volume is 515.7 Å³ per cell. The calculation puts the total energy at -3.608 eV per atom. The spin magnetization comes out at 0.0 Bohr magnetons per cell. The density comes out at 7.59 Mg/m³. For the formation energy, the calculation gives -1.1 eV/f.u.

It has space group R-3m (No. 166, hexagonal axes), with a = 4.7430 Å, b = 4.7430 Å, c = 26.4712 Å, α = 90.00°, β = 90.00° and γ = 120.00°. Symmetry generates all atoms from Li at (0.0000, 0.0000, 0.1161), Tb at (0.0000, 0.0000, 0.3753), Sc at (0.0000, 0.0000, 0.5000) and Tl at (0.0000, 0.0000, 0.2333).

3.
Below is a relaxed LiTb2ScTl4 crystal, with properties calculated at the PBE-GGA level.

The value obtained for the calculated volume is 605.3 Å³ per cell. The calculation puts the total energy at -3.679 eV per atom. The spin magnetization comes out at 0.0 Bohr magnetons per cell. The density comes out at 9.77 Mg/m³. For the formation energy, the calculation gives -2.5 eV/f.u.

It has space group R-3m (No. 166, hexagonal axes), with a = 5.1870 Å, b = 5.1870 Å, c = 25.9798 Å, α = 90.00°, β = 90.00° and γ = 120.00°. Symmetry generates all atoms from Li at (0.0000, 0.0000, 0.0000), Tb at (0.0000, 0.0000, 0.2534), Sc at (0.0000, 0.0000, 0.5000), Tl at (0.0000, 0.0000, 0.1252) and Tl at (0.0000, 0.0000, 0.3742).

4.
Below is a relaxed LiTbTmSc crystal, with properties calculated at the PBE-GGA level.

The value obtained for the calculated volume is 423.5 Å³ per cell. The calculation puts the total energy at -4.180 eV per atom. The spin magnetization comes out at 0.0 Bohr magnetons per cell. The density comes out at 5.96 Mg/m³. For the formation energy, the calculation gives 0.6 eV/f.u.

It has space group F-43m (No. 216), with a = 7.510 Å, b = 7.510 Å, c = 7.510 Å, α = 90.00°, β = 90.00° and γ = 90.00°. Symmetry generates all atoms from Li at (0.000, 0.000, 0.000), Tb at (0.250, 0.250, 0.750), Tm at (0.250, 0.250, 0.250) and Sc at (0.000, 0.000, 0.500).

5.
Below is a relaxed LiTbYSc crystal, with properties calculated at the PBE-GGA level.

The value obtained for the calculated volume is 433.2 Å³ per cell. The calculation puts the total energy at -4.684 eV per atom. The spin magnetization comes out at 0.0 Bohr magnetons per cell. The density comes out at 4.60 Mg/m³. For the formation energy, the calculation gives 0.6 eV/f.u.

It has space group F-43m (No. 216), with a = 7.567 Å, b = 7.567 Å, c = 7.567 Å, α = 90.00°, β = 90.00° and γ = 90.00°. Symmetry generates all atoms from Li at (0.000, 0.000, 0.000), Tb at (0.250, 0.250, 0.750), Y at (0.250, 0.250, 0.250) and Sc at (0.000, 0.000, 0.500).

6.
Below is a relaxed LiTbSc2Zn4 crystal, with properties calculated at the PBE-GGA level.

The value obtained for the calculated volume is 463.2 Å³ per cell. The calculation puts the total energy at -3.307 eV per atom. The spin magnetization comes out at 0.0 Bohr magnetons per cell. The density comes out at 5.57 Mg/m³. For the formation energy, the calculation gives -2.2 eV/f.u.

It has space group R-3m (No. 166, hexagonal axes), with a = 4.7048 Å, b = 4.7048 Å, c = 24.1611 Å, α = 90.00°, β = 90.00° and γ = 120.00°. Symmetry generates all atoms from Li at (0.0000, 0.0000, 0.0000), Tb at (0.0000, 0.0000, 0.5000), Sc at (0.0000, 0.0000, 0.2570), Zn at (0.0000, 0.0000, 0.1127) and Zn at (0.0000, 0.0000, 0.3741).

7.
Below is a relaxed LiTbScZn crystal, with properties calculated at the PBE-GGA level.

The value obtained for the calculated volume is 345.9 Å³ per cell. The calculation puts the total energy at -3.644 eV per atom. The spin magnetization comes out at 0.0 Bohr magnetons per cell. The density comes out at 5.30 Mg/m³. For the formation energy, the calculation gives -0.4 eV/f.u.

It has space group F-43m (No. 216), with a = 7.020 Å, b = 7.020 Å, c = 7.020 Å, α = 90.00°, β = 90.00° and γ = 90.00°. Symmetry generates all atoms from Li at (0.000, 0.000, 0.000), Tb at (0.250, 0.250, 0.750), Sc at (0.250, 0.250, 0.250) and Zn at (0.000, 0.000, 0.500).

8.
Below is a relaxed LiScTc3 crystal, with properties calculated at the PBE-GGA level.

The value obtained for the calculated volume is 76.5 Å³ per cell. The calculation puts the total energy at -6.961 eV per atom. The relative energy among the computed polymorphs comes out at 0.000 eV/atom. The spin magnetization comes out at 0.0 Bohr magnetons per cell. The density comes out at 7.50 Mg/m³. For the formation energy, the calculation gives 4.5 eV/f.u.

It has space group Pm-3m (No. 221), with a = 4.246 Å, b = 4.246 Å, c = 4.246 Å, α = 90.00°, β = 90.00° and γ = 90.00°. Symmetry generates all atoms from Li at (0.000, 0.000, 0.000), Sc at (0.500, 0.500, 0.500) and Tc at (0.000, 0.000, 0.500).

9.
Below is a relaxed Li2ScTc crystal, with properties calculated at the PBE-GGA level.

The value obtained for the calculated volume is 205.3 Å³ per cell. The calculation puts the total energy at -4.714 eV per atom. The relative energy among the computed polymorphs comes out at 0.274 eV/atom. The spin magnetization comes out at 2.5 Bohr magnetons per cell. The density comes out at 3.81 Mg/m³. For the formation energy, the calculation gives 1.7 eV/f.u.

It has space group R-3m (No. 166, hexagonal axes), with a = 2.7990 Å, b = 2.7990 Å, c = 30.2635 Å, α = 90.00°, β = 90.00° and γ = 120.00°. Symmetry generates all atoms from Li at (0.0000, 0.0000, 0.2423), Sc at (0.0000, 0.0000, 0.0000) and Tc at (0.0000, 0.0000, 0.5000).

10.
Below is a relaxed LiSc2Tc crystal, with properties calculated at the PBE-GGA level.

The value obtained for the calculated volume is 79.9 Å³ per cell. The calculation puts the total energy at -6.375 eV per atom. The relative energy among the computed polymorphs comes out at 0.000 eV/atom. The spin magnetization comes out at 0.0 Bohr magnetons per cell. The density comes out at 4.05 Mg/m³. For the formation energy, the calculation gives -0.6 eV/f.u.

It has space group P2/m (No. 10), with a = 3.291 Å, b = 3.296 Å, c = 7.364 Å, α = 90.00°, β = 90.35° and γ = 90.00°. Symmetry generates all atoms from Li at (0.000, 0.000, 0.000), Sc at (0.499, 0.500, 0.704) and Tc at (0.000, 0.000, 0.500).

11.
Below is a relaxed LiSc3Tc crystal, with properties calculated at the PBE-GGA level.

The value obtained for the calculated volume is 130.8 Å³ per cell. The calculation puts the total energy at -6.096 eV per atom. The relative energy among the computed polymorphs comes out at 0.000 eV/atom. The spin magnetization comes out at 0.0 Bohr magnetons per cell. The density comes out at 3.05 Mg/m³. For the formation energy, the calculation gives 0.8 eV/f.u.

It has space group Pm-3m (No. 221), with a = 5.076 Å, b = 5.076 Å, c = 5.076 Å, α = 90.00°, β = 90.00° and γ = 90.00°. Symmetry generates all atoms from Li at (0.000, 0.000, 0.000), Sc at (0.000, 0.500, 0.500) and Tc at (0.500, 0.500, 0.500).

12.
Below is a relaxed LiSc2Tc crystal, with properties calculated at the PBE-GGA level.

The value obtained for the calculated volume is 155.8 Å³ per cell. The calculation puts the total energy at -6.126 eV per atom. The relative energy among the computed polymorphs comes out at 0.249 eV/atom. The spin magnetization comes out at 0.0 Bohr magnetons per cell. The density comes out at 4.15 Mg/m³. For the formation energy, the calculation gives 0.4 eV/f.u.

It has space group C2/m (No. 12), with a = 8.425 Å, b = 3.119 Å, c = 6.012 Å, α = 90.00°, β = 99.47° and γ = 90.00°. Symmetry generates all atoms from Li at (0.000, 0.000, 0.000), Sc at (0.235, 0.000, 0.719) and Tc at (0.000, 0.500, 0.500).